(1)
Density functional theory data (PBE) for an optimized crystal structure of HoSc2Cr2C4.

Cell: 6.635 6.635 5.657 Å, 111.95 111.95 27.64°
Sites, in units of the cell vectors:
1 Ho 0.000 0.000 0.000
2 Sc 0.150 0.150 0.541
3 Sc 0.850 0.850 0.459
4 Cr 0.326 0.326 0.026
5 Cr 0.674 0.674 0.974
6 C 0.220 0.220 0.216
7 C 0.478 0.478 0.364
8 C 0.522 0.522 0.636
9 C 0.780 0.780 0.784

Properties
N(E_F): 5.4 states/eV per cell
calculated formation energy: -0.23 eV per atom
crystal system: monoclinic
VASP energy: -8.385 eV/atom
volume: 11.8 A^3/atom



(2)
Density functional theory data (PBE) for an optimized crystal structure of TbRuO4.

Cell: 6.117 6.117 5.391 Å, 108.16 108.16 49.73°
Sites, in units of the cell vectors:
1 Tb 0.226 0.774 0.750
2 Tb 0.774 0.226 0.250
3 Ru 0.000 0.500 0.000
4 Ru 0.500 0.000 0.500
5 O 0.120 0.203 0.655
6 O 0.203 0.120 0.155
7 O 0.319 0.485 0.038
8 O 0.485 0.319 0.538
9 O 0.515 0.681 0.462
10 O 0.681 0.515 0.962
11 O 0.797 0.880 0.845
12 O 0.880 0.797 0.345

Properties
energy above the lowest structure with this stoichiometry: 101 meV per atom
N(E_F): 5.0 states/eV per cell
crystal system: monoclinic
raw formation energy: -1.91 eV per atom
VASP energy: -7.530 eV/atom
volume: 12.0 A^3/atom



(3)
Density functional theory data (PBE) for an optimized crystal structure of AlTcHg2Pt.

Cell: 4.982 4.982 4.642 Å, 90.00 90.00 90.00°
Sites, in units of the cell vectors:
1 Al 0.000 0.000 0.000
2 Tc 0.500 0.500 0.500
3 Hg 0.000 0.500 0.000
4 Hg 0.500 0.000 0.000
5 Pt 0.000 0.000 0.500

Properties
energy above the lowest structure with this stoichiometry: 130 meV per atom
N(E_F): 3.8 states/eV per cell
calculated formation energy: 0.98 eV per atom
crystal system: tetragonal
VASP energy: -3.170 eV/atom
volume: 23.0 A^3/atom



(4)
Density functional theory data (PBE) for an optimized crystal structure of Cr2TcBr.

Cell: 2.992 2.992 24.373 Å, 90.00 90.00 120.00°
Sites, in units of the cell vectors:
1 Cr 0.000 0.000 0.000
2 Cr 0.000 0.000 0.256
3 Cr 0.333 0.667 0.667
4 Cr 0.333 0.667 0.922
5 Cr 0.667 0.333 0.333
6 Cr 0.667 0.333 0.589
7 Tc 0.000 0.000 0.519
8 Tc 0.333 0.667 0.186
9 Tc 0.667 0.333 0.852
10 Br 0.000 0.000 0.747
11 Br 0.333 0.667 0.413
12 Br 0.667 0.333 0.080

Properties
energy above the lowest structure with this stoichiometry: 78 meV per atom
N(E_F): 12.6 states/eV per cell
crystal system: trigonal
raw formation energy: 0.57 eV per atom
VASP energy: -7.251 eV/atom
volume: 15.8 A^3/atom



(5)
Density functional theory data (PBE) for an optimized crystal structure of Pm6NiS5.

Cell: 7.001 7.001 7.003 Å, 99.66 99.66 119.86°
Sites, in units of the cell vectors:
1 Pm 0.081 0.410 0.246
2 Pm 0.247 0.247 0.752
3 Pm 0.410 0.081 0.246
4 Pm 0.590 0.919 0.754
5 Pm 0.753 0.753 0.248
6 Pm 0.919 0.590 0.754
7 Ni 0.000 0.000 0.000
8 S 0.171 0.829 0.500
9 S 0.334 0.666 0.000
10 S 0.500 0.500 0.500
11 S 0.666 0.334 0.000
12 S 0.829 0.171 0.500

Properties
N(E_F): 4.7 states/eV per cell
crystal system: monoclinic
raw formation energy: -1.75 eV per atom
VASP energy: -6.326 eV/atom
volume: 23.4 A^3/atom



(6)
Density functional theory data (PBE) for an optimized crystal structure of LiSn2Ru2.

Cell: 7.654 7.654 3.128 Å, 90.00 90.00 90.00°
Sites, in units of the cell vectors:
1 Li 0.000 0.000 0.000
2 Li 0.500 0.500 0.000
3 Sn 0.152 0.348 0.000
4 Sn 0.348 0.848 0.000
5 Sn 0.652 0.152 0.000
6 Sn 0.848 0.652 0.000
7 Ru 0.144 0.644 0.500
8 Ru 0.356 0.144 0.500
9 Ru 0.644 0.856 0.500
10 Ru 0.856 0.356 0.500

Properties
energy above the lowest structure with this stoichiometry: 22 meV per atom
N(E_F): 4.7 states/eV per cell
calculated formation energy: -0.13 eV per atom
crystal system: tetragonal
VASP energy: -5.820 eV/atom
volume: 18.3 A^3/atom



(7)
Density functional theory data (PBE) for an optimized crystal structure of K2LaBr.

Cell: 4.167 6.565 6.317 Å, 90.00 96.88 90.00°
Sites, in units of the cell vectors:
1 K 0.180 0.000 0.267
2 K 0.820 0.000 0.733
3 La 0.500 0.500 0.000
4 Br 0.500 0.500 0.500

Properties
energy above the lowest structure with this stoichiometry: 288 meV per atom
N(E_F): 5.0 states/eV per cell
crystal system: monoclinic
raw formation energy: -0.27 eV per atom
VASP energy: -2.467 eV/atom
volume: 42.9 A^3/atom



(8)
Density functional theory data (PBE) for an optimized crystal structure of AcSmY2Tm.

Cell: 6.396 5.845 9.815 Å, 90.00 108.75 90.00°
Sites, in units of the cell vectors:
1 Ac 0.140 0.250 0.107
2 Ac 0.860 0.750 0.893
3 Sm 0.481 0.750 0.108
4 Sm 0.519 0.250 0.892
5 Y 0.259 0.750 0.693
6 Y 0.335 0.250 0.503
7 Y 0.665 0.750 0.497
8 Y 0.741 0.250 0.307
9 Tm 0.072 0.750 0.312
10 Tm 0.928 0.250 0.688

Properties
N(E_F): 18.1 states/eV per cell
calculated formation energy: 0.04 eV per atom
crystal system: monoclinic
VASP energy: -5.206 eV/atom
volume: 34.7 A^3/atom



> Number 6 is which compound?

LiSn2Ru2



> Which formula does entry 5 have?

Pm6NiS5